# 1
VASP calculation (PBE) on a relaxed structure of TaAgS3.

Lattice parameters (Å, degrees): 4.8058 4.8058 4.8058 90.00 90.00 90.00
Atoms (fractional coordinates):
S1 0.0000 0.5000 0.0000
S2 0.0000 0.0000 0.5000
S3 0.5000 0.0000 0.0000
Ta1 0.0000 0.0000 0.0000
Ag1 0.5000 0.5000 0.5000

E above lowest polymorph   423 meV/atom
Formation energy (no corrections)   -0.238 eV per atom
Final energy   -5.655 eV per atom

# 2
VASP calculation (PBE) on a relaxed structure of Pu2TlSb.

Lattice parameters (Å, degrees): 3.5487 3.5487 9.4402 79.17 79.17 60.00
Last column: magnetic moment on the atom in μB.
Atoms (fractional coordinates):
Pu1 0.3491 0.3491 0.9526  -2.55
Pu2 0.0621 0.0621 0.8137  3.07
Tl1 0.4902 0.4902 0.5293  0.00
Sb1 0.5985 0.5985 0.2045  -0.02

E above lowest polymorph   293 meV/atom
Formation energy (no corrections)   -0.041 eV per atom
Final energy   -8.829 eV per atom

# 3
VASP calculation (PBE) on a relaxed structure of YZrTc2.

Lattice parameters (Å, degrees): 8.7058 8.7058 8.7058 21.57 21.57 21.57
Atoms (fractional coordinates):
Zr1 0.7500 0.7500 0.7500
Tc1 0.4954 0.4954 0.4954
Tc2 0.0046 0.0046 0.0046
Y1 0.2500 0.2500 0.2500

Final energy   -8.721 eV per atom

# 4
VASP calculation (PBE) on a relaxed structure of Ta2CrAs.

Lattice parameters (Å, degrees): 2.9013 2.9013 8.1669 90.00 90.00 109.69
Atoms (fractional coordinates):
Cr1 0.5000 0.5000 0.7361
Ta1 0.0000 0.0000 0.9813
Ta2 0.5000 0.5000 0.2652
As1 0.0000 0.0000 0.5175

Final energy   -9.459 eV per atom